Record 1
A plane-wave DFT calculation with meta-GGA SCAN was carried out for Mn2ReIr at its PBEsol-relaxed geometry.

Output
- Uncorrected energy: -179.36 eV per cell
- DOS at the Fermi energy: 2.54 states/eV per cell

Cell: 2.6433 2.6433 7.2428 Å, 90.00 90.00 90.00°
Space group P4mm (No. 99)
Symmetry-distinct sites (fractional):
Mn: 0.0000 0.0000 0.0000 [1 per cell]
Mn: 0.5000 0.5000 0.2211 [1 per cell]
Re: 0.0000 0.0000 0.4744 [1 per cell]
Ir: 0.5000 0.5000 0.7450 [1 per cell]

***

Record 2
A plane-wave DFT calculation with meta-GGA SCAN was carried out for MnReIr2 at its PBEsol-relaxed geometry.

Output
- Uncorrected energy: -465.81 eV per cell
- DOS at the Fermi energy: 5.56 states/eV per cell
- Energy above the lowest structure with this stoichiometry: 0.06 eV/f.u.

Cell: 3.7910 3.7910 7.5122 Å, 90.00 90.00 90.00°
Space group I4/mmm (No. 139)
Symmetry-distinct sites (fractional):
Mn: 0.0000 0.0000 0.0000 [2 per cell]
Re: 0.0000 0.0000 0.5000 [2 per cell]
Ir: 0.0000 0.5000 0.2500 [4 per cell]

***

Record 3
A plane-wave DFT calculation with meta-GGA SCAN was carried out for MnReIr2 at its PBEsol-relaxed geometry.

Output
- Uncorrected energy: -232.74 eV per cell
- DOS at the Fermi energy: 3.12 states/eV per cell
- Energy above the lowest structure with this stoichiometry: 0.23 eV/f.u.

Cell: 2.6851 4.2346 4.6867 Å, 90.00 90.00 90.00°
Space group Pmm2 (No. 25)
Symmetry-distinct sites (fractional):
Mn: 0.0000 0.0000 0.0000 [1 per cell]
Re: 0.0000 0.5000 0.6779 [1 per cell]
Ir: 0.5000 0.0000 0.5001 [1 per cell]
Ir: 0.5000 0.5000 0.1566 [1 per cell]

***

Record 4
A plane-wave DFT calculation with meta-GGA SCAN was carried out for Mn2ReIr at its PBEsol-relaxed geometry.

Output
- Uncorrected energy: -179.57 eV per cell
- DOS at the Fermi energy: 2.56 states/eV per cell

Cell: 2.6441 3.6542 5.2456 Å, 90.00 90.00 90.00°
Space group Pmm2 (No. 25)
Symmetry-distinct sites (fractional):
Mn: 0.0000 0.0000 0.0000 [1 per cell]
Mn: 0.5000 0.5000 0.2173 [1 per cell]
Re: 0.0000 0.0000 0.4686 [1 per cell]
Ir: 0.5000 0.5000 0.7409 [1 per cell]

***

Record 5
A plane-wave DFT calculation with meta-GGA SCAN was carried out for MnIr2Rh at its PBEsol-relaxed geometry.

Output
- Uncorrected energy: -584.54 eV per cell
- DOS at the Fermi energy: 13.68 states/eV per cell

Cell: 2.6588 2.6588 25.7204 Å, 90.00 90.00 120.00°
Space group R-3m (No. 166, hexagonal axes)
Symmetry-distinct sites (fractional):
Mn: 0.0000 0.0000 0.0000 [3 per cell]
Ir: 0.0000 0.0000 0.2543 [6 per cell]
Rh: 0.0000 0.0000 0.5000 [3 per cell]

***

Record 6
A plane-wave DFT calculation with meta-GGA SCAN was carried out for MnIr2Rh at its PBEsol-relaxed geometry.

Output
- Uncorrected energy: -775.86 eV per cell
- DOS at the Fermi energy: 21.65 states/eV per cell

Cell: 6.0627 6.0627 6.0627 Å, 90.00 90.00 90.00°
Space group F-43m (No. 216)
Symmetry-distinct sites (fractional):
Mn: 0.0000 0.0000 0.0000 [4 per cell]
Ir: 0.0000 0.0000 0.5000 [4 per cell]
Ir: 0.2500 0.2500 0.2500 [4 per cell]
Rh: 0.2500 0.2500 0.7500 [4 per cell]

***

Record 7
A plane-wave DFT calculation with meta-GGA SCAN was carried out for Mn2SbIrRh at its PBEsol-relaxed geometry.

Output
- Uncorrected energy: -172.15 eV per cell
- DOS at the Fermi energy: 3.78 states/eV per cell
- E_form (uncorrected): 1.299 eV/atom

Cell: 4.7256 4.7256 4.7436 Å, 90.00 90.00 90.00°
Space group P4/mmm (No. 123)
Symmetry-distinct sites (fractional):
Mn: 0.0000 0.5000 0.0000 [2 per cell]
Sb: 0.0000 0.0000 0.0000 [1 per cell]
Ir: 0.0000 0.0000 0.5000 [1 per cell]
Rh: 0.5000 0.5000 0.5000 [1 per cell]

***

Record 8
A plane-wave DFT calculation with meta-GGA SCAN was carried out for MnIr2Ru at its PBEsol-relaxed geometry.

Output
- Uncorrected energy: -779.30 eV per cell
- DOS at the Fermi energy: 14.44 states/eV per cell

Cell: 6.0595 6.0595 6.0595 Å, 90.00 90.00 90.00°
Space group Fm-3m (No. 225)
Symmetry-distinct sites (fractional):
Mn: 0.0000 0.0000 0.0000 [4 per cell]
Ir: 0.2500 0.2500 0.2500 [8 per cell]
Ru: 0.0000 0.0000 0.5000 [4 per cell]

***

Record 9
A plane-wave DFT calculation with meta-GGA SCAN was carried out for MnIr2Ru at its PBEsol-relaxed geometry.

Output
- Uncorrected energy: -392.61 eV per cell
- DOS at the Fermi energy: 7.68 states/eV per cell

Cell: 3.7508 3.7508 7.5072 Å, 90.00 90.00 90.00°
Space group I4/mmm (No. 139)
Symmetry-distinct sites (fractional):
Mn: 0.0000 0.0000 0.0000 [2 per cell]
Ir: 0.0000 0.5000 0.2500 [4 per cell]
Ru: 0.0000 0.0000 0.5000 [2 per cell]

***

Record 10
A plane-wave DFT calculation with meta-GGA SCAN was carried out for MnIr2Ru at its PBEsol-relaxed geometry.

Output
- Uncorrected energy: -392.18 eV per cell
- DOS at the Fermi energy: 6.34 states/eV per cell

Cell: 8.7810 2.6610 4.5846 Å, 90.00 100.46 90.00°
Space group Cm (No. 8)
Symmetry-distinct sites (fractional):
Mn: 0.0000 0.0000 0.0000 [2 per cell]
Ir: 0.0004 0.5000 0.5054 [2 per cell]
Ir: 0.2467 0.5000 0.2403 [2 per cell]
Ru: 0.2522 0.0000 0.7529 [2 per cell]

***

Record 11
A plane-wave DFT calculation with meta-GGA SCAN was carried out for MnIr2Ru at its PBEsol-relaxed geometry.

Output
- Uncorrected energy: -778.95 eV per cell
- DOS at the Fermi energy: 18.37 states/eV per cell

Cell: 6.0510 6.0510 6.0510 Å, 90.00 90.00 90.00°
Space group F-43m (No. 216)
Symmetry-distinct sites (fractional):
Mn: 0.0000 0.0000 0.0000 [4 per cell]
Ir: 0.0000 0.0000 0.5000 [4 per cell]
Ir: 0.2500 0.2500 0.2500 [4 per cell]
Ru: 0.2500 0.2500 0.7500 [4 per cell]

***

Record 12
A plane-wave DFT calculation with meta-GGA SCAN was carried out for MnIr2Ru at its PBEsol-relaxed geometry.

Output
- Uncorrected energy: -196.16 eV per cell
- DOS at the Fermi energy: 3.06 states/eV per cell

Cell: 2.6720 4.2136 4.6230 Å, 90.00 90.00 90.00°
Space group Pmm2 (No. 25)
Symmetry-distinct sites (fractional):
Mn: 0.0000 0.0000 0.0000 [1 per cell]
Ir: 0.5000 0.0000 0.5073 [1 per cell]
Ir: 0.5000 0.5000 0.1633 [1 per cell]
Ru: 0.0000 0.5000 0.6767 [1 per cell]

***

> Which formula does entry 4 have?

Mn2ReIr

***

> Among the records above, which one has the highest uncorrected energy?

Mn2SbIrRh